VASP calculation (PBE) on Y2FeSi2 after structural relaxation.

Formation energy (no corrections) in eV per formula unit: 0.02

Geometry as CIF:
```
data_Y2FeSi2
_cell_length_a 3.4587
_cell_length_b 3.4587
_cell_length_c 16.8448
_cell_angle_alpha 90.00
_cell_angle_beta 90.00
_cell_angle_gamma 90.00
_symmetry_space_group_name_H-M 'I 4/m m m'
_symmetry_Int_Tables_number 139
_symmetry_space_group_name_Hall '-I 4 2'
loop_
_atom_site_label
_atom_site_type_symbol
_atom_site_fract_x
_atom_site_fract_y
_atom_site_fract_z
Y1 Y 0.0000 0.0000 0.0972
Fe1 Fe 0.0000 0.0000 0.5000
Si1 Si 0.0000 0.5000 0.2500
```